Record 1
The following is a meta-GGA SCAN calculation of a crystal of RbCoBiC2 relaxed with PBEsol, from Alexandria.

- Crystal system: tetragonal
- Energy of formation from the pure elements: 3437 meV per atom

The structure in extended XYZ format:
```
5
Lattice="4.497 0.000 0.000 0.000 4.497 0.000 0.000 0.000 4.662" Properties=species:S:1:pos:R:3 pbc="T T T"
Rb 0.000 0.000 0.000
C 0.000 2.249 0.000
C 2.249 0.000 0.000
Bi 2.249 2.249 2.331
Co 0.000 0.000 2.331
```

Record 2
The following is a meta-GGA SCAN calculation of a crystal of Cr3BiC relaxed with PBEsol, from Alexandria.

- Crystal system: cubic
- Energy of formation from the pure elements: 2164 meV per atom

The structure in extended XYZ format:
```
5
Lattice="-3.653 -3.612 0.188 2.803 -2.996 -3.097 2.286 -2.099 4.098" Properties=species:S:1:pos:R:3 pbc="T T T"
Cr 1.143 -1.049 2.049
Cr -1.826 -1.806 0.094
Cr 1.401 -1.498 -1.549
C 0.718 -4.353 0.594
Bi 0.000 0.000 0.000
```

Record 3
The following is a meta-GGA SCAN calculation of a crystal of CrBi2CF relaxed with PBEsol, from Alexandria.

- Crystal system: tetragonal

The structure in extended XYZ format:
```
5
Lattice="3.887 0.000 0.000 0.000 5.057 0.000 0.000 0.000 5.057" Properties=species:S:1:pos:R:3 pbc="T T T"
Bi 0.000 2.529 0.000
Bi 0.000 0.000 2.529
F 0.000 0.000 0.000
Cr 1.943 0.000 0.000
C 1.943 2.529 2.529
```

Record 4
The following is a meta-GGA SCAN calculation of a crystal of Cr2GaBiC relaxed with PBEsol, from Alexandria.

- Crystal system: tetragonal
- Energy of formation from the pure elements: 430 meV per atom

The structure in extended XYZ format:
```
5
Lattice="-3.265 -1.060 -2.311 -2.115 -0.956 3.426 -1.482 4.079 0.224" Properties=species:S:1:pos:R:3 pbc="T T T"
Ga -0.741 2.040 0.112
Cr -1.632 -0.530 -1.155
Cr -1.057 -0.478 1.713
Bi -3.431 1.032 0.669
C 0.000 0.000 0.000
```

Record 5
The following is a meta-GGA SCAN calculation of a crystal of CrBiOs2C relaxed with PBEsol, from Alexandria.

- Crystal system: tetragonal
- Energy of formation from the pure elements: 2782 meV per atom

The structure in extended XYZ format:
```
5
Lattice="-2.019 2.591 2.918 -3.316 0.594 -2.822 -2.294 -3.897 1.874" Properties=species:S:1:pos:R:3 pbc="T T T"
Os -1.009 1.296 1.459
Os -1.658 0.297 -1.411
Cr 0.000 0.000 0.000
C -3.814 -0.356 0.985
Bi -1.147 -1.949 0.937
```

Record 6
The following is a meta-GGA SCAN calculation of a crystal of Cr2BiCSe relaxed with PBEsol, from Alexandria.

- Crystal system: tetragonal

The structure in extended XYZ format:
```
5
Lattice="-2.567 3.441 -0.386 -3.313 -2.072 3.555 2.653 2.414 3.879" Properties=species:S:1:pos:R:3 pbc="T T T"
Bi 0.000 0.000 0.000
Cr 1.326 1.207 1.940
Cr -1.657 -1.036 1.778
Se -1.614 1.891 3.524
C -1.283 1.721 -0.193
```

Table of uncorrected energy (eV/cell), in record order: -119.6 -133.0 -184.2 -139.6 -236.9 -137.2